This record from the Alexandria database describes Ca4Al3 after structural relaxation. The functional is PBE.

Calculated values
Theoretical density ... 2.1 g cm⁻³
Formation enthalpy at 0 K ... -0.06 eV/atom
Symmetry ... P6/mmm
Electronic total energy ... -19.7 eV/cell
DOS at the Fermi energy ... 1.126 states/eV/atom

a b c (Å): 5.8662 5.8662 6.4973
angles (deg): 90.00 90.00 120.00
Closest atoms and distances in Å follow each position.
Positions (direct):
Ca  0.0000  0.0000  0.2333  1 Ca 3.03, 6 Al 3.30
Ca  0.0000  0.0000  0.7667  1 Ca 3.03, 6 Al 3.30
Ca  0.3333  0.6667  0.5000  3 Ca 3.39, 6 Al 3.66
Ca  0.6667  0.3333  0.5000  3 Ca 3.39, 6 Al 3.66
Al  0.0000  0.5000  0.0000  4 Al 2.93
Al  0.5000  0.0000  0.0000  4 Al 2.93
Al  0.5000  0.5000  0.0000  4 Al 2.93


This record from the Alexandria database describes CaAl after structural relaxation. The functional is PBE.

Calculated values
Theoretical density ... 2.1 g cm⁻³
Formation enthalpy at 0 K ... -0.05 eV/atom
Symmetry ... Fddd
Electronic total energy ... -23.4 eV/cell
DOS at the Fermi energy ... 0.533 states/eV/atom

a b c (Å): 9.1746 8.3868 5.5374
angles (deg): 79.56 64.03 36.41
Closest atoms and distances in Å follow each position.
Positions (direct):
Ca  0.0450  0.7050  0.0450  4 Al 3.12-3.37, 3 Ca 3.21-3.27
Ca  0.2950  0.9550  0.2950  4 Al 3.12-3.37, 3 Ca 3.21-3.27
Ca  0.7050  0.0450  0.7050  4 Al 3.12-3.37, 3 Ca 3.21-3.27
Ca  0.9550  0.2950  0.9550  4 Al 3.12-3.37, 3 Ca 3.21-3.27
Al  0.2938  0.2938  0.4562  1 Al 2.56
Al  0.4562  0.4562  0.2938  1 Al 2.56
Al  0.5438  0.5438  0.7062  1 Al 2.56
Al  0.7062  0.7062  0.5438  1 Al 2.56


This record from the Alexandria database describes CaAl3 after structural relaxation. The functional is PBE.

Calculated values
Theoretical density ... 2.5 g cm⁻³
Formation enthalpy at 0 K ... -0.10 eV/atom
Symmetry ... I4/mmm
Electronic total energy ... -27.2 eV/cell
DOS at the Fermi energy ... 0.370 states/eV/atom

a b c (Å): 9.0938 9.0938 9.0938
angles (deg): 152.25 152.25 39.66
Closest atoms and distances in Å follow each position.
Positions (direct):
Ca  0.1231  0.1231  0.0000  12 Al 3.03-3.09
Ca  0.8769  0.8769  0.0000  12 Al 3.03-3.09
Al  0.0000  0.5000  0.5000  4 Ca 3.03, 8 Al 3.08-3.17
Al  0.2500  0.7500  0.5000  8 Al 2.94-3.08, 4 Ca 3.08
Al  0.3652  0.3652  0.0000  8 Al 2.94-3.17, 4 Ca 3.09
Al  0.5000  0.0000  0.5000  4 Ca 3.03, 8 Al 3.08-3.17
Al  0.6348  0.6348  0.0000  8 Al 2.94-3.17, 4 Ca 3.09
Al  0.7500  0.2500  0.5000  8 Al 2.94-3.08, 4 Ca 3.08


This record from the Alexandria database describes CaAl after structural relaxation. The functional is PBE.

Calculated values
Theoretical density ... 2.0 g cm⁻³
Formation enthalpy at 0 K ... -0.16 eV/atom
Symmetry ... Imm2
Electronic total energy ... -18.2 eV/cell
DOS at the Fermi energy ... 0.428 states/eV/atom

a b c (Å): 7.2420 7.2420 7.2420
angles (deg): 145.94 64.45 127.08
Closest atoms and distances in Å follow each position.
Positions (direct):
Ca  0.0000  0.0000  0.0000  6 Al 3.11-3.25
Ca  0.0499  0.7534  0.2965  3 Al 3.16-3.19
Ca  0.4569  0.7534  0.7035  3 Al 3.16-3.19
Al  0.5041  0.5041  0.0000  4 Al 2.83
Al  0.6048  0.2118  0.3930  3 Al 2.62-2.83
Al  0.8188  0.2118  0.6070  3 Al 2.62-2.83


This record from the Alexandria database describes Ca7Al after structural relaxation. The functional is PBE.

Calculated values
Theoretical density ... 1.7 g cm⁻³
Formation enthalpy at 0 K ... 0.05 eV/atom
Symmetry ... Fm-3m
Electronic total energy ... -17.3 eV/cell
DOS at the Fermi energy ... 1.461 states/eV/atom

a b c (Å): 7.4916 7.4916 7.4916
angles (deg): 60.00 60.00 60.00
Closest atoms and distances in Å follow each position.
Positions (direct):
Ca  0.0000  0.0000  0.0000  12 Ca 3.75
Ca  0.0000  0.0000  0.5000  10 Ca 3.75, 2 Al 3.75
Ca  0.0000  0.5000  0.0000  10 Ca 3.75, 2 Al 3.75
Ca  0.0000  0.5000  0.5000  10 Ca 3.75, 2 Al 3.75
Ca  0.5000  0.0000  0.0000  10 Ca 3.75, 2 Al 3.75
Ca  0.5000  0.0000  0.5000  10 Ca 3.75, 2 Al 3.75
Ca  0.5000  0.5000  0.0000  10 Ca 3.75, 2 Al 3.75
Al  0.5000  0.5000  0.5000  12 Ca 3.75


This record from the Alexandria database describes Ca2Al after structural relaxation. The functional is PBE.

Calculated values
Theoretical density ... 1.9 g cm⁻³
Formation enthalpy at 0 K ... -0.09 eV/atom
Symmetry ... C2/m
Electronic total energy ... -16.0 eV/cell
DOS at the Fermi energy ... 0.868 states/eV/atom

a b c (Å): 6.6991 6.6991 8.6902
angles (deg): 111.26 111.26 31.02
Closest atoms and distances in Å follow each position.
Positions (direct):
Ca  0.0313  0.0313  0.2093  4 Al 3.28-3.37, 4 Ca 3.42-3.60
Ca  0.3321  0.3321  0.3623  3 Al 3.32-3.39, 3 Ca 3.58-3.60
Ca  0.6679  0.6679  0.6377  3 Al 3.32-3.39, 3 Ca 3.58-3.60
Ca  0.9687  0.9687  0.7907  4 Al 3.28-3.37, 4 Ca 3.42-3.60
Al  0.3209  0.3209  0.9662  2 Al 2.78
Al  0.6791  0.6791  0.0338  2 Al 2.78


This record from the Alexandria database describes Ca2Al after structural relaxation. The functional is PBE.

Calculated values
Theoretical density ... 1.6 g cm⁻³
Formation enthalpy at 0 K ... 0.06 eV/atom
Symmetry ... Pa-3
Electronic total energy ... -30.3 eV/cell
DOS at the Fermi energy ... 1.542 states/eV/atom

a b c (Å): 7.5843 7.5843 7.5843
angles (deg): 90.00 90.00 90.00
Closest atoms and distances in Å follow each position.
Positions (direct):
Ca  0.1597  0.1597  0.1597  3 Al 3.10
Ca  0.1597  0.3403  0.6597  3 Al 3.10
Ca  0.3403  0.6597  0.1597  3 Al 3.10
Ca  0.3403  0.8403  0.6597  3 Al 3.10
Ca  0.6597  0.1597  0.3403  3 Al 3.10
Ca  0.6597  0.3403  0.8403  3 Al 3.10
Ca  0.8403  0.6597  0.3403  3 Al 3.10
Ca  0.8403  0.8403  0.8403  3 Al 3.10
Al  0.0000  0.0000  0.5000  6 Ca 3.10
Al  0.0000  0.5000  0.0000  6 Ca 3.10
Al  0.5000  0.0000  0.0000  6 Ca 3.10
Al  0.5000  0.5000  0.5000  6 Ca 3.10


This record from the Alexandria database describes CaAl after structural relaxation. The functional is PBE.

Calculated values
Theoretical density ... 2.1 g cm⁻³
Formation enthalpy at 0 K ... -0.15 eV/atom
Symmetry ... Cm
Electronic total energy ... -18.2 eV/cell
DOS at the Fermi energy ... 0.345 states/eV/atom

a b c (Å): 6.2780 6.2780 7.2254
angles (deg): 108.53 108.53 35.98
Closest atoms and distances in Å follow each position.
Positions (direct):
Ca  0.0000  0.0000  0.0000  7 Al 3.18-3.42, 3 Ca 3.35-3.55
Ca  0.0008  0.0008  0.4640  4 Ca 3.30-3.64, 7 Al 3.41-3.67
Ca  0.2936  0.2936  0.6292  5 Al 3.13-3.47, 1 Ca 3.30
Al  0.3018  0.3018  0.1136  4 Al 2.74-2.76
Al  0.6710  0.6710  0.8617  3 Al 2.76-2.86
Al  0.6987  0.6987  0.2706  3 Al 2.74-2.86


This record from the Alexandria database describes Ca3Al after structural relaxation. The functional is PBE.

Calculated values
Theoretical density ... 1.9 g cm⁻³
Formation enthalpy at 0 K ... -0.06 eV/atom
Symmetry ... Pmmn
Electronic total energy ... -59.9 eV/cell
DOS at the Fermi energy ... 0.733 states/eV/atom

a b c (Å): 7.2168 16.8467 6.2267
angles (deg): 90.00 90.00 90.00
Closest atoms and distances in Å follow each position.
Positions (direct):
Ca  0.0004  0.0834  0.1660  7 Ca 3.39-3.61, 4 Al 3.43-3.77
Ca  0.9998  0.2500  0.8340  7 Ca 3.39-3.61, 4 Al 3.44-3.77
Ca  0.0004  0.4166  0.1660  7 Ca 3.39-3.61, 4 Al 3.43-3.77
Ca  0.9996  0.5834  0.8340  7 Ca 3.39-3.61, 4 Al 3.43-3.77
Ca  0.0002  0.7500  0.1660  7 Ca 3.39-3.61, 4 Al 3.44-3.77
Ca  0.9996  0.9166  0.8340  7 Ca 3.39-3.61, 4 Al 3.43-3.77
Ca  0.2500  0.0832  0.6266  6 Ca 3.39-3.58, 4 Al 3.46-3.64
Ca  0.2500  0.4168  0.6266  6 Ca 3.39-3.58, 4 Al 3.46-3.64
Ca  0.2500  0.7500  0.6264  6 Ca 3.39-3.58, 4 Al 3.46-3.63
Ca  0.4996  0.0834  0.1660  7 Ca 3.39-3.61, 4 Al 3.43-3.77
Ca  0.5002  0.2500  0.8340  7 Ca 3.39-3.61, 4 Al 3.44-3.77
Ca  0.4996  0.4166  0.1660  7 Ca 3.39-3.61, 4 Al 3.43-3.77
Ca  0.5004  0.5834  0.8340  7 Ca 3.39-3.61, 4 Al 3.43-3.77
Ca  0.4998  0.7500  0.1660  7 Ca 3.39-3.61, 4 Al 3.44-3.77
Ca  0.5004  0.9166  0.8340  7 Ca 3.39-3.61, 4 Al 3.43-3.77
Ca  0.7500  0.2500  0.3736  6 Ca 3.39-3.58, 4 Al 3.46-3.63
Ca  0.7500  0.5832  0.3734  6 Ca 3.39-3.58, 4 Al 3.46-3.64
Ca  0.7500  0.9168  0.3734  6 Ca 3.39-3.58, 4 Al 3.46-3.64
Al  0.2500  0.2500  0.3034  12 Ca 3.44-3.77
Al  0.2500  0.5833  0.3022  12 Ca 3.43-3.77
Al  0.2500  0.9167  0.3022  12 Ca 3.43-3.77
Al  0.7500  0.0833  0.6978  12 Ca 3.43-3.77
Al  0.7500  0.4167  0.6978  12 Ca 3.43-3.77
Al  0.7500  0.7500  0.6966  12 Ca 3.44-3.77


This record from the Alexandria database describes Ca8Al3 after structural relaxation. The functional is PBE.

Calculated values
Theoretical density ... 1.9 g cm⁻³
Formation enthalpy at 0 K ... -0.16 eV/atom
Symmetry ... P-1
Electronic total energy ... -58.0 eV/cell
DOS at the Fermi energy ... 0.352 states/eV/atom

a b c (Å): 9.4511 9.5190 9.6045
angles (deg): 98.98 101.10 119.72
Closest atoms and distances in Å follow each position.
Positions (direct):
Ca  0.0318  0.2013  0.1492  4 Al 3.24-3.52, 2 Ca 3.42-3.60
Ca  0.0440  0.2105  0.7967  3 Al 3.25-3.37, 3 Ca 3.42-3.53
Ca  0.1676  0.6209  0.3893  3 Al 3.19-3.52, 2 Ca 3.51-3.53
Ca  0.2016  0.9977  0.6108  3 Al 3.19-3.53, 1 Ca 3.52
Ca  0.2740  0.6529  0.7988  3 Al 3.24-3.41, 3 Ca 3.42-3.56
Ca  0.3784  0.9005  0.1477  3 Al 3.18-3.49, 1 Ca 3.42
Ca  0.4198  0.2694  0.3928  2 Al 3.13-3.26
Ca  0.4599  0.5606  0.1694  3 Al 3.31-3.65, 4 Ca 3.62-3.70
Ca  0.5401  0.4394  0.8306  3 Al 3.31-3.65, 4 Ca 3.62-3.70
Ca  0.5802  0.7306  0.6072  2 Al 3.13-3.26
Ca  0.6216  0.0995  0.8523  3 Al 3.18-3.49, 1 Ca 3.42
Ca  0.7260  0.3471  0.2012  3 Al 3.24-3.41, 3 Ca 3.42-3.56
Ca  0.7984  0.0023  0.3892  3 Al 3.19-3.53, 1 Ca 3.52
Ca  0.8324  0.3791  0.6107  3 Al 3.19-3.52, 2 Ca 3.51-3.53
Ca  0.9560  0.7895  0.2033  3 Al 3.25-3.37, 3 Ca 3.42-3.53
Ca  0.9682  0.7987  0.8508  4 Al 3.24-3.52, 2 Ca 3.42-3.60
Al  0.0000  0.5000  0.0000  10 Ca 3.37-3.52
Al  0.1760  0.3398  0.5258  6 Ca 3.13-3.39
Al  0.3274  0.1624  0.9998  10 Ca 3.24-3.61
Al  0.5000  0.0000  0.5000  8 Ca 3.18-3.26
Al  0.6726  0.8376  0.0002  10 Ca 3.24-3.61
Al  0.8240  0.6602  0.4742  6 Ca 3.13-3.39


This record from the Alexandria database describes CaAl4 after structural relaxation. The functional is PBE.

Calculated values
Theoretical density ... 2.4 g cm⁻³
Formation enthalpy at 0 K ... -0.06 eV/atom
Symmetry ... I4/m
Electronic total energy ... -17.3 eV/cell
DOS at the Fermi energy ... 0.302 states/eV/atom

a b c (Å): 5.2593 5.2593 5.2593
angles (deg): 100.47 100.47 129.54
Closest atoms and distances in Å follow each position.
Positions (direct):
Ca  0.0000  0.0000  0.0000  12 Al 3.07-3.36
Al  0.1912  0.4618  0.6529  5 Al 2.62-2.91
Al  0.4618  0.8088  0.2706  5 Al 2.62-2.91
Al  0.5382  0.1912  0.7294  5 Al 2.62-2.91
Al  0.8088  0.5382  0.3471  5 Al 2.62-2.91